Entry P
Entry from the Alexandria database: Fe10O9F11 after structural relaxation (PBE+U).

```
Fe10O9F11
1.0
3.272 -3.379 0.000
3.272 3.379 0.000
-0.043 0.000 15.474
Fe O F
10 9 11
direct
0.000 0.000 0.000
0.007 0.991 0.612
0.009 0.993 0.388
0.022 0.951 0.201
0.049 0.978 0.799
0.508 0.443 0.906
0.537 0.454 0.303
0.546 0.463 0.697
0.556 0.444 0.500
0.557 0.492 0.094
0.205 0.160 0.900
0.226 0.169 0.296
0.232 0.177 0.701
0.710 0.290 0.000
0.719 0.278 0.402
0.722 0.281 0.598
0.823 0.768 0.299
0.831 0.774 0.704
0.840 0.795 0.100
0.216 0.166 0.500
0.235 0.186 0.101
0.318 0.682 0.000
0.327 0.669 0.406
0.331 0.673 0.594
0.336 0.657 0.801
0.343 0.664 0.199
0.720 0.268 0.802
0.732 0.280 0.198
0.814 0.765 0.899
0.834 0.784 0.500
```

## Properties
symmetry = C2 (5)

Entry Q
Entry from the Alexandria database: Fe10O9F11 after structural relaxation (PBE+U).

```
Fe10O9F11
1.0
3.120 -3.427 0.000
3.120 3.427 0.000
-0.025 0.000 15.067
Fe O F
10 9 11
direct
0.000 0.000 0.000
0.029 0.970 0.403
0.030 0.965 0.208
0.030 0.971 0.597
0.035 0.970 0.792
0.514 0.437 0.902
0.529 0.470 0.302
0.530 0.470 0.500
0.530 0.471 0.698
0.563 0.486 0.098
0.204 0.150 0.894
0.226 0.166 0.305
0.227 0.167 0.500
0.234 0.166 0.695
0.716 0.284 0.000
0.833 0.773 0.500
0.834 0.766 0.305
0.834 0.774 0.695
0.850 0.796 0.106
0.231 0.184 0.107
0.330 0.670 0.000
0.332 0.660 0.795
0.340 0.668 0.205
0.343 0.654 0.403
0.346 0.657 0.597
0.715 0.283 0.403
0.717 0.285 0.597
0.723 0.272 0.795
0.728 0.277 0.205
0.816 0.769 0.893
```

## Properties
density of states at the Fermi level = 1.06 states/eV per cell
symmetry = C2 (5)

Which structure wins on stability? entry P wins.